The following is a PBE calculation of a relaxed BaCoB4 crystal, from the Open Quantum Materials Database.

POSCAR file:
```
BaCoB4
1.0
2.057 -4.375 2.567
2.845 1.622 4.386
-4.841 -0.449 -2.514
B Co Ba
4 1 1
Cartesian
0.193 -2.326 1.663
-0.132 -0.876 2.776
0.719 0.598 2.760
-0.658 -3.800 1.679
2.451 -1.376 3.476
0.000 0.000 0.000
```

Properties
The value obtained for the energy above the most stable polymorph in this dataset is 475 meV/atom.